First-principles (PBE) data for a relaxed structure of ZrCd4, as listed in Alexandria.

## Properties
spin magnetization = 2.39 μB/cell
calculated formation energy = 0.83 eV per atom
E above lowest polymorph = 893 meV/atom
electronic total energy = -8.03 eV/f.u.

Cell: 5.735 5.735 5.735 Å, 90.00 90.00 90.00°
Space group Pm-3m (No. 221)
Unique sites:
Zr1 0.000 0.000 0.000 x1
Cd1 0.000 0.000 0.500 x3
Cd2 0.500 0.500 0.500 x1

***

First-principles (PBE) data for a relaxed structure of AsPS2, as listed in Alexandria.

## Properties
spin magnetization = 0.00 μB/cell
formation energy from raw total energies = 176 kJ/mol of formula units
E above lowest polymorph = 472 meV/atom
electronic total energy = -16.49 eV/f.u.

Cell: 6.622 6.622 7.148 Å, 90.00 90.00 90.00°
Space group I-42d (No. 122)
Unique sites:
As1 0.000 0.000 0.000 x4
P1 0.000 0.000 0.500 x4
S1 0.236 0.250 0.625 x8

***

First-principles (PBE) data for a relaxed structure of PuTlIn, as listed in Alexandria.

## Properties
spin magnetization = 12.18 μB/cell
calculated formation energy = -0.06 eV per atom
E above lowest polymorph = 5 meV/atom
electronic total energy = -19.62 eV/f.u.

Cell: 5.2499 5.2499 6.6834 Å, 90.00 90.00 120.00°
Space group P6_3/mmc (No. 194)
Unique sites:
Pu1 0.0000 0.0000 0.0000 x2
Tl1 0.3333 0.6667 0.2500 x2
In1 0.3333 0.6667 0.7500 x2

***

Question: What is the formula in the third record?
Answer: PuTlIn

***

Question: Which of these has the lowest spin magnetization?
Answer: AsPS2

***

Question: The highest electronic total energy belongs to which entry?
Answer: ZrCd4

***

Question: E above lowest polymorph of number 3 (PuTlIn)?
Answer: 5 meV/atom